No. 1
Crystalline Ac7Ge4C at its relaxed geometry. Source: the Alexandria database, functional GGA-PBE.

```
data_Ac7Ge4C
_cell_length_a 16.358
_cell_length_b 5.297
_cell_length_c 11.639
_cell_angle_alpha 90.00
_cell_angle_beta 125.18
_cell_angle_gamma 90.00
_space_group_name_H-M_alt 'C 1 2/m 1'
_space_group_IT_number 12
_space_group_name_Hall '-C 2y'
loop_
_atom_site_label
_atom_site_type_symbol
_atom_site_fract_x
_atom_site_fract_y
_atom_site_fract_z
Ac1 Ac 0.000 0.000 0.000
Ac2 Ac 0.070 0.500 0.256
Ac3 Ac 0.139 0.000 0.538
Ac4 Ac 0.214 0.500 0.862
Ge1 Ge 0.080 0.000 0.777
Ge2 Ge 0.223 0.000 0.342
C1 C 0.000 0.500 0.000
```

=====

No. 2
Crystalline Ac4Ge2C at its relaxed geometry. Source: the Alexandria database, functional GGA-PBE.

```
data_Ac4Ge2C
_cell_length_a 7.465
_cell_length_b 7.168
_cell_length_c 9.245
_cell_angle_alpha 90.00
_cell_angle_beta 108.40
_cell_angle_gamma 90.00
_space_group_name_H-M_alt 'P 1 21/m 1'
_space_group_IT_number 11
_space_group_name_Hall '-P 2yb'
loop_
_atom_site_label
_atom_site_type_symbol
_atom_site_fract_x
_atom_site_fract_y
_atom_site_fract_z
Ac1 Ac 0.013 0.005 0.250
Ac2 Ac 0.437 0.250 0.589
Ac3 Ac 0.442 0.250 0.131
Ge1 Ge 0.219 0.750 0.554
Ge2 Ge 0.254 0.750 0.063
C1 C 0.251 0.250 0.310
```

=====

No. 3
Crystalline Ac4Ge2C at its relaxed geometry. Source: the Alexandria database, functional GGA-PBE.

```
data_Ac4Ge2C
_cell_length_a 5.215
_cell_length_b 5.215
_cell_length_c 16.767
_cell_angle_alpha 90.00
_cell_angle_beta 90.00
_cell_angle_gamma 90.00
_space_group_name_H-M_alt 'I 4/m m m'
_space_group_IT_number 139
_space_group_name_Hall '-I 4 2'
loop_
_atom_site_label
_atom_site_type_symbol
_atom_site_fract_x
_atom_site_fract_y
_atom_site_fract_z
Ac1 Ac 0.000 0.000 0.175
Ac2 Ac 0.000 0.500 0.000
Ge1 Ge 0.000 0.000 0.366
C1 C 0.000 0.000 0.000
```

=====

The following DFT formation energy values (in meV per atom) correspond, in order, to the records above: -331; -342; -309.
The following magnetization values (in μB/f.u.) correspond, in order, to the records above: 0.00; 0.00; 0.00.